one.
Material: NaMgBiPd
Method: DFT, GGA-PBE
State: optimized geometry

```
data_NaMgBiPd
_cell_length_a 6.9292
_cell_length_b 6.9292
_cell_length_c 6.9292
_cell_angle_alpha 90.00
_cell_angle_beta 90.00
_cell_angle_gamma 90.00
_space_group_name_H-M_alt 'F -4 3 m'
_space_group_IT_number 216
_space_group_name_Hall 'F -4 2 3'
loop_
_atom_site_label
_atom_site_type_symbol
_atom_site_fract_x
_atom_site_fract_y
_atom_site_fract_z
Na1 Na 0.0000 0.0000 0.0000
Mg1 Mg 0.2500 0.2500 0.7500
Bi1 Bi 0.2500 0.2500 0.2500
Pd1 Pd 0.0000 0.0000 0.5000
```

***

two.
Material: NaMgBiPd
Method: DFT, GGA-PBE
State: optimized geometry

```
data_NaMgBiPd
_cell_length_a 6.9961
_cell_length_b 6.9961
_cell_length_c 6.9961
_cell_angle_alpha 90.00
_cell_angle_beta 90.00
_cell_angle_gamma 90.00
_space_group_name_H-M_alt 'F -4 3 m'
_space_group_IT_number 216
_space_group_name_Hall 'F -4 2 3'
loop_
_atom_site_label
_atom_site_type_symbol
_atom_site_fract_x
_atom_site_fract_y
_atom_site_fract_z
Na1 Na 0.0000 0.0000 0.0000
Mg1 Mg 0.2500 0.2500 0.7500
Bi1 Bi 0.0000 0.0000 0.5000
Pd1 Pd 0.2500 0.2500 0.2500
```

***

Which structure is the most stable? The one labeled one.

***

one.
Material: NaMgBiPt
Method: DFT, GGA-PBE
State: optimized geometry

```
data_NaMgBiPt
_cell_length_a 6.9634
_cell_length_b 6.9634
_cell_length_c 6.9634
_cell_angle_alpha 90.00
_cell_angle_beta 90.00
_cell_angle_gamma 90.00
_space_group_name_H-M_alt 'F -4 3 m'
_space_group_IT_number 216
_space_group_name_Hall 'F -4 2 3'
loop_
_atom_site_label
_atom_site_type_symbol
_atom_site_fract_x
_atom_site_fract_y
_atom_site_fract_z
Na1 Na 0.0000 0.0000 0.0000
Mg1 Mg 0.2500 0.2500 0.2500
Bi1 Bi 0.0000 0.0000 0.5000
Pt1 Pt 0.2500 0.2500 0.7500
```

***

two.
Material: NaMgBiPt
Method: DFT, GGA-PBE
State: optimized geometry

```
data_NaMgBiPt
_cell_length_a 6.8906
_cell_length_b 6.8906
_cell_length_c 6.8906
_cell_angle_alpha 90.00
_cell_angle_beta 90.00
_cell_angle_gamma 90.00
_space_group_name_H-M_alt 'F -4 3 m'
_space_group_IT_number 216
_space_group_name_Hall 'F -4 2 3'
loop_
_atom_site_label
_atom_site_type_symbol
_atom_site_fract_x
_atom_site_fract_y
_atom_site_fract_z
Na1 Na 0.0000 0.0000 0.0000
Mg1 Mg 0.2500 0.2500 0.2500
Bi1 Bi 0.2500 0.2500 0.7500
Pt1 Pt 0.0000 0.0000 0.5000
```

***

Which structure is the most stable? The one labeled two.

***

one.
Material: MgNbBiTe
Method: DFT, GGA-PBE
State: optimized geometry

```
data_MgNbBiTe
_cell_length_a 7.2147
_cell_length_b 7.2147
_cell_length_c 7.2147
_cell_angle_alpha 90.00
_cell_angle_beta 90.00
_cell_angle_gamma 90.00
_space_group_name_H-M_alt 'F -4 3 m'
_space_group_IT_number 216
_space_group_name_Hall 'F -4 2 3'
loop_
_atom_site_label
_atom_site_type_symbol
_atom_site_fract_x
_atom_site_fract_y
_atom_site_fract_z
Mg1 Mg 0.0000 0.0000 0.0000
Nb1 Nb 0.0000 0.0000 0.5000
Bi1 Bi 0.2500 0.2500 0.2500
Te1 Te 0.2500 0.2500 0.7500
```

***

two.
Material: MgNbBiTe
Method: DFT, GGA-PBE
State: optimized geometry

```
data_MgNbBiTe
_cell_length_a 7.2965
_cell_length_b 7.2965
_cell_length_c 7.2965
_cell_angle_alpha 90.00
_cell_angle_beta 90.00
_cell_angle_gamma 90.00
_space_group_name_H-M_alt 'F -4 3 m'
_space_group_IT_number 216
_space_group_name_Hall 'F -4 2 3'
loop_
_atom_site_label
_atom_site_type_symbol
_atom_site_fract_x
_atom_site_fract_y
_atom_site_fract_z
Mg1 Mg 0.0000 0.0000 0.0000
Nb1 Nb 0.2500 0.2500 0.2500
Bi1 Bi 0.2500 0.2500 0.7500
Te1 Te 0.0000 0.0000 0.5000
```

***

Which structure is the most stable? The one labeled one.

***

one.
Material: MgNiBi
Method: DFT, GGA-PBE
State: optimized geometry

```
data_MgNiBi
_cell_length_a 4.8485
_cell_length_b 4.8485
_cell_length_c 5.8290
_cell_angle_alpha 90.00
_cell_angle_beta 90.00
_cell_angle_gamma 120.00
_space_group_name_H-M_alt 'P 63/m m c'
_space_group_IT_number 194
_space_group_name_Hall '-P 6c 2c'
loop_
_atom_site_label
_atom_site_type_symbol
_atom_site_fract_x
_atom_site_fract_y
_atom_site_fract_z
Mg1 Mg 0.3333 0.6667 0.2500
Ni1 Ni 0.0000 0.0000 0.0000
Bi1 Bi 0.3333 0.6667 0.7500
```

***

two.
Material: MgNiBi
Method: DFT, GGA-PBE
State: optimized geometry

```
data_MgNiBi
_cell_length_a 6.8395
_cell_length_b 6.8395
_cell_length_c 4.5517
_cell_angle_alpha 90.00
_cell_angle_beta 90.00
_cell_angle_gamma 120.00
_space_group_name_H-M_alt 'P -6 2 m'
_space_group_IT_number 189
_space_group_name_Hall 'P -6 -2'
loop_
_atom_site_label
_atom_site_type_symbol
_atom_site_fract_x
_atom_site_fract_y
_atom_site_fract_z
Mg1 Mg 0.0000 0.4497 0.0000
Ni1 Ni 0.0000 0.2217 0.5000
Bi1 Bi 0.0000 0.0000 0.0000
Bi2 Bi 0.3333 0.6667 0.5000
```

***

Which structure is the most stable? The one labeled two.

***

one.
Material: MgNiBi
Method: DFT, GGA-PBE
State: optimized geometry

```
data_MgNiBi
_cell_length_a 6.2537
_cell_length_b 6.2537
_cell_length_c 6.2537
_cell_angle_alpha 90.00
_cell_angle_beta 90.00
_cell_angle_gamma 90.00
_space_group_name_H-M_alt 'F -4 3 m'
_space_group_IT_number 216
_space_group_name_Hall 'F -4 2 3'
loop_
_atom_site_label
_atom_site_type_symbol
_atom_site_fract_x
_atom_site_fract_y
_atom_site_fract_z
Mg1 Mg 0.0000 0.0000 0.0000
Ni1 Ni 0.2500 0.2500 0.7500
Bi1 Bi 0.0000 0.0000 0.5000
```

***

two.
Material: MgNiBi
Method: DFT, GGA-PBE
State: optimized geometry

```
data_MgNiBi
_cell_length_a 7.7669
_cell_length_b 7.7669
_cell_length_c 3.4453
_cell_angle_alpha 90.00
_cell_angle_beta 90.00
_cell_angle_gamma 120.00
_space_group_name_H-M_alt 'P -6 2 m'
_space_group_IT_number 189
_space_group_name_Hall 'P -6 -2'
loop_
_atom_site_label
_atom_site_type_symbol
_atom_site_fract_x
_atom_site_fract_y
_atom_site_fract_z
Mg1 Mg 0.0000 0.2919 0.0000
Ni1 Ni 0.0000 0.6371 0.5000
Bi1 Bi 0.0000 0.0000 0.5000
Bi2 Bi 0.3333 0.6667 0.0000
```

***

Which structure is the most stable? The one labeled one.

***

one.
Material: MgNiBi
Method: DFT, GGA-PBE
State: optimized geometry

```
data_MgNiBi
_cell_length_a 7.2727
_cell_length_b 7.2727
_cell_length_c 3.8375
_cell_angle_alpha 90.00
_cell_angle_beta 90.00
_cell_angle_gamma 120.00
_space_group_name_H-M_alt 'P -6 2 m'
_space_group_IT_number 189
_space_group_name_Hall 'P -6 -2'
loop_
_atom_site_label
_atom_site_type_symbol
_atom_site_fract_x
_atom_site_fract_y
_atom_site_fract_z
Mg1 Mg 0.0000 0.6080 0.0000
Ni1 Ni 0.0000 0.0000 0.0000
Ni2 Ni 0.3333 0.6667 0.5000
Bi1 Bi 0.0000 0.2771 0.5000
```

***

two.
Material: MgNiBi
Method: DFT, GGA-PBE
State: optimized geometry

```
data_MgNiBi
_cell_length_a 7.8463
_cell_length_b 4.3006
_cell_length_c 7.2470
_cell_angle_alpha 90.00
_cell_angle_beta 90.00
_cell_angle_gamma 90.00
_space_group_name_H-M_alt 'P n m a'
_space_group_IT_number 62
_space_group_name_Hall '-P 2ac 2n'
loop_
_atom_site_label
_atom_site_type_symbol
_atom_site_fract_x
_atom_site_fract_y
_atom_site_fract_z
Mg1 Mg 0.0031 0.2500 0.2220
Ni1 Ni 0.0905 0.7500 0.4319
Bi1 Bi 0.2486 0.2500 0.5904
```

***

three.
Material: MgNiBi
Method: DFT, GGA-PBE
State: optimized geometry

```
data_MgNiBi
_cell_length_a 4.5884
_cell_length_b 4.5884
_cell_length_c 6.4621
_cell_angle_alpha 90.00
_cell_angle_beta 90.00
_cell_angle_gamma 120.00
_space_group_name_H-M_alt 'P 63/m m c'
_space_group_IT_number 194
_space_group_name_Hall '-P 6c 2c'
loop_
_atom_site_label
_atom_site_type_symbol
_atom_site_fract_x
_atom_site_fract_y
_atom_site_fract_z
Mg1 Mg 0.0000 0.0000 0.0000
Ni1 Ni 0.3333 0.6667 0.2500
Bi1 Bi 0.3333 0.6667 0.7500
```

***

Which structure is the most stable? The one labeled two.

***

one.
Material: RbMgNiBi
Method: DFT, GGA-PBE
State: optimized geometry

```
data_RbMgNiBi
_cell_length_a 7.3760
_cell_length_b 7.3760
_cell_length_c 7.3760
_cell_angle_alpha 90.00
_cell_angle_beta 90.00
_cell_angle_gamma 90.00
_space_group_name_H-M_alt 'F -4 3 m'
_space_group_IT_number 216
_space_group_name_Hall 'F -4 2 3'
loop_
_atom_site_label
_atom_site_type_symbol
_atom_site_fract_x
_atom_site_fract_y
_atom_site_fract_z
Rb1 Rb 0.0000 0.0000 0.0000
Mg1 Mg 0.2500 0.2500 0.2500
Ni1 Ni 0.2500 0.2500 0.7500
Bi1 Bi 0.0000 0.0000 0.5000
```

***

two.
Material: RbMgNiBi
Method: DFT, GGA-PBE
State: optimized geometry

```
data_RbMgNiBi
_cell_length_a 7.3722
_cell_length_b 7.3722
_cell_length_c 7.3722
_cell_angle_alpha 90.00
_cell_angle_beta 90.00
_cell_angle_gamma 90.00
_space_group_name_H-M_alt 'F -4 3 m'
_space_group_IT_number 216
_space_group_name_Hall 'F -4 2 3'
loop_
_atom_site_label
_atom_site_type_symbol
_atom_site_fract_x
_atom_site_fract_y
_atom_site_fract_z
Rb1 Rb 0.0000 0.0000 0.0000
Mg1 Mg 0.2500 0.2500 0.2500
Ni1 Ni 0.0000 0.0000 0.5000
Bi1 Bi 0.2500 0.2500 0.7500
```

***

three.
Material: RbMgNiBi
Method: DFT, GGA-PBE
State: optimized geometry

```
data_RbMgNiBi
_cell_length_a 7.5405
_cell_length_b 7.5405
_cell_length_c 7.5405
_cell_angle_alpha 90.00
_cell_angle_beta 90.00
_cell_angle_gamma 90.00
_space_group_name_H-M_alt 'F -4 3 m'
_space_group_IT_number 216
_space_group_name_Hall 'F -4 2 3'
loop_
_atom_site_label
_atom_site_type_symbol
_atom_site_fract_x
_atom_site_fract_y
_atom_site_fract_z
Rb1 Rb 0.0000 0.0000 0.0000
Mg1 Mg 0.0000 0.0000 0.5000
Ni1 Ni 0.2500 0.2500 0.7500
Bi1 Bi 0.2500 0.2500 0.2500
```

***

Which structure is the most stable? The one labeled one.

***

one.
Material: MgScNiBi
Method: DFT, GGA-PBE
State: optimized geometry

```
data_MgScNiBi
_cell_length_a 6.8573
_cell_length_b 6.8573
_cell_length_c 6.8573
_cell_angle_alpha 90.00
_cell_angle_beta 90.00
_cell_angle_gamma 90.00
_space_group_name_H-M_alt 'F -4 3 m'
_space_group_IT_number 216
_space_group_name_Hall 'F -4 2 3'
loop_
_atom_site_label
_atom_site_type_symbol
_atom_site_fract_x
_atom_site_fract_y
_atom_site_fract_z
Mg1 Mg 0.0000 0.0000 0.0000
Sc1 Sc 0.0000 0.0000 0.5000
Ni1 Ni 0.2500 0.2500 0.2500
Bi1 Bi 0.2500 0.2500 0.7500
```

***

two.
Material: MgScNiBi
Method: DFT, GGA-PBE
State: optimized geometry

```
data_MgScNiBi
_cell_length_a 6.8386
_cell_length_b 6.8386
_cell_length_c 6.8386
_cell_angle_alpha 90.00
_cell_angle_beta 90.00
_cell_angle_gamma 90.00
_space_group_name_H-M_alt 'F -4 3 m'
_space_group_IT_number 216
_space_group_name_Hall 'F -4 2 3'
loop_
_atom_site_label
_atom_site_type_symbol
_atom_site_fract_x
_atom_site_fract_y
_atom_site_fract_z
Mg1 Mg 0.0000 0.0000 0.0000
Sc1 Sc 0.2500 0.2500 0.2500
Ni1 Ni 0.0000 0.0000 0.5000
Bi1 Bi 0.2500 0.2500 0.7500
```

***

Which structure is the most stable? The one labeled one.

***

one.
Material: MgTaNiBi
Method: DFT, GGA-PBE
State: optimized geometry

```
data_MgTaNiBi
_cell_length_a 6.7089
_cell_length_b 6.7089
_cell_length_c 6.7089
_cell_angle_alpha 90.00
_cell_angle_beta 90.00
_cell_angle_gamma 90.00
_space_group_name_H-M_alt 'F -4 3 m'
_space_group_IT_number 216
_space_group_name_Hall 'F -4 2 3'
loop_
_atom_site_label
_atom_site_type_symbol
_atom_site_fract_x
_atom_site_fract_y
_atom_site_fract_z
Mg1 Mg 0.0000 0.0000 0.0000
Ta1 Ta 0.2500 0.2500 0.2500
Ni1 Ni 0.2500 0.2500 0.7500
Bi1 Bi 0.0000 0.0000 0.5000
```

***

two.
Material: MgTaNiBi
Method: DFT, GGA-PBE
State: optimized geometry

```
data_MgTaNiBi
_cell_length_a 6.7262
_cell_length_b 6.7262
_cell_length_c 6.7262
_cell_angle_alpha 90.00
_cell_angle_beta 90.00
_cell_angle_gamma 90.00
_space_group_name_H-M_alt 'F -4 3 m'
_space_group_IT_number 216
_space_group_name_Hall 'F -4 2 3'
loop_
_atom_site_label
_atom_site_type_symbol
_atom_site_fract_x
_atom_site_fract_y
_atom_site_fract_z
Mg1 Mg 0.0000 0.0000 0.0000
Ta1 Ta 0.2500 0.2500 0.7500
Ni1 Ni 0.0000 0.0000 0.5000
Bi1 Bi 0.2500 0.2500 0.2500
```

***

Which structure is the most stable? The one labeled one.

***

one.
Material: MgPaBi
Method: DFT, GGA-PBE
State: optimized geometry

```
data_MgPaBi
_cell_length_a 7.2641
_cell_length_b 7.2641
_cell_length_c 7.2641
_cell_angle_alpha 90.00
_cell_angle_beta 90.00
_cell_angle_gamma 90.00
_space_group_name_H-M_alt 'F -4 3 m'
_space_group_IT_number 216
_space_group_name_Hall 'F -4 2 3'
loop_
_atom_site_label
_atom_site_type_symbol
_atom_site_fract_x
_atom_site_fract_y
_atom_site_fract_z
Mg1 Mg 0.0000 0.0000 0.0000
Pa1 Pa 0.0000 0.0000 0.5000
Bi1 Bi 0.2500 0.2500 0.2500
```

***

two.
Material: MgPaBi
Method: DFT, GGA-PBE
State: optimized geometry

```
data_MgPaBi
_cell_length_a 7.3825
_cell_length_b 7.3825
_cell_length_c 7.3825
_cell_angle_alpha 90.00
_cell_angle_beta 90.00
_cell_angle_gamma 90.00
_space_group_name_H-M_alt 'F -4 3 m'
_space_group_IT_number 216
_space_group_name_Hall 'F -4 2 3'
loop_
_atom_site_label
_atom_site_type_symbol
_atom_site_fract_x
_atom_site_fract_y
_atom_site_fract_z
Mg1 Mg 0.0000 0.0000 0.0000
Pa1 Pa 0.2500 0.2500 0.7500
Bi1 Bi 0.0000 0.0000 0.5000
```

***

Which structure is the most stable? The one labeled one.

***

one.
Material: PmMgBi
Method: DFT, GGA-PBE
State: optimized geometry

```
data_PmMgBi
_cell_length_a 7.2844
_cell_length_b 7.2844
_cell_length_c 7.2844
_cell_angle_alpha 90.00
_cell_angle_beta 90.00
_cell_angle_gamma 90.00
_space_group_name_H-M_alt 'F -4 3 m'
_space_group_IT_number 216
_space_group_name_Hall 'F -4 2 3'
loop_
_atom_site_label
_atom_site_type_symbol
_atom_site_fract_x
_atom_site_fract_y
_atom_site_fract_z
Pm1 Pm 0.0000 0.0000 0.0000
Mg1 Mg 0.0000 0.0000 0.5000
Bi1 Bi 0.2500 0.2500 0.7500
```

***

two.
Material: PmMgBi
Method: DFT, GGA-PBE
State: optimized geometry

```
data_PmMgBi
_cell_length_a 7.4360
_cell_length_b 7.4360
_cell_length_c 7.4360
_cell_angle_alpha 90.00
_cell_angle_beta 90.00
_cell_angle_gamma 90.00
_space_group_name_H-M_alt 'F -4 3 m'
_space_group_IT_number 216
_space_group_name_Hall 'F -4 2 3'
loop_
_atom_site_label
_atom_site_type_symbol
_atom_site_fract_x
_atom_site_fract_y
_atom_site_fract_z
Pm1 Pm 0.0000 0.0000 0.0000
Mg1 Mg 0.2500 0.2500 0.2500
Bi1 Bi 0.2500 0.2500 0.7500
```

***

Which structure is the most stable? The one labeled one.

***

one.
Material: MgBiSbW
Method: DFT, GGA-PBE
State: optimized geometry

```
data_MgBiSbW
_cell_length_a 7.1046
_cell_length_b 7.1046
_cell_length_c 7.1046
_cell_angle_alpha 90.00
_cell_angle_beta 90.00
_cell_angle_gamma 90.00
_space_group_name_H-M_alt 'F -4 3 m'
_space_group_IT_number 216
_space_group_name_Hall 'F -4 2 3'
loop_
_atom_site_label
_atom_site_type_symbol
_atom_site_fract_x
_atom_site_fract_y
_atom_site_fract_z
Mg1 Mg 0.0000 0.0000 0.0000
Bi1 Bi 0.2500 0.2500 0.7500
Sb1 Sb 0.0000 0.0000 0.5000
W1 W 0.2500 0.2500 0.2500
```

***

two.
Material: MgBiSbW
Method: DFT, GGA-PBE
State: optimized geometry

```
data_MgBiSbW
_cell_length_a 6.9769
_cell_length_b 6.9769
_cell_length_c 6.9769
_cell_angle_alpha 90.00
_cell_angle_beta 90.00
_cell_angle_gamma 90.00
_space_group_name_H-M_alt 'F -4 3 m'
_space_group_IT_number 216
_space_group_name_Hall 'F -4 2 3'
loop_
_atom_site_label
_atom_site_type_symbol
_atom_site_fract_x
_atom_site_fract_y
_atom_site_fract_z
Mg1 Mg 0.0000 0.0000 0.0000
Bi1 Bi 0.2500 0.2500 0.2500
Sb1 Sb 0.2500 0.2500 0.7500
W1 W 0.0000 0.0000 0.5000
```

***

Which structure is the most stable? The one labeled two.